A relaxed Cs4Tb3AlS8 crystal. Source: the Alexandria database, functional PBE-GGA. Values from VASP.

Geometry as Quantum ESPRESSO input:
```
&SYSTEM
  ibrav = 0, nat = 16, ntyp = 4
/
ATOMIC_SPECIES
Tb 158.93 Tb.upf
S 32.06 S.upf
Cs 132.91 Cs.upf
Al 26.98 Al.upf
CELL_PARAMETERS angstrom
-6.2121 4.6301 -2.2568
-5.9206 -6.6894 2.5716
5.0817 2.5728 5.7191
ATOMIC_POSITIONS angstrom
Tb -3.5255 0.2568 3.0169
Tb -6.0663 -1.0296 0.1574
Tb -0.4194 -2.0583 4.1453
S -3.1507 -2.4278 3.6915
S -0.4300 -1.0514 6.7512
S -6.2571 -0.0335 2.7267
S -3.7558 1.4276 5.5429
S -3.9002 2.9413 2.3423
S -3.2951 -0.9141 0.4909
S -6.6209 1.5649 -0.7174
S -0.7938 0.5470 3.3072
Cs 2.5409 1.2864 2.8595
Cs 0.0000 0.0000 0.0000
Cs -3.1060 2.3151 -1.1284
Cs -0.5652 3.6015 1.7311
Al -2.9603 -3.3447 1.2858
```

E_form (uncorrected) ... -1.594 eV per atom
Magnetization ... 0.00 μB per formula unit
Energy ... -4.973 eV/atom